Record 1
The following is a PBE-GGA calculation of an optimized crystal structure of SrLi2SnAu, from the Alexandria database.

The symmetry is P4/mmm (123).

Cell lengths 5.6241, 5.4543, 5.6241 Å; angles 90.00, 90.00, 90.00 degrees
Last column: nearest neighbours and their distance in Å.
Element x y z (fractional)
Au 0.0000 0.5000 0.0000  2 Sr 2.73
Sn 0.5000 0.5000 0.5000  8 Li 3.92, 4 Au 3.98
Li 0.0000 0.0000 0.5000  2 Sr 2.81
Li 0.5000 0.0000 0.0000  2 Sr 2.81
Sr 0.0000 0.0000 0.0000  2 Au 2.73, 4 Li 2.81



Record 2
The following is a PBE-GGA calculation of an optimized crystal structure of SrOs2Pt, from the Alexandria database.

The symmetry is P4/mmm (123). The calculation puts the energy relative to the lowest polymorph listed for this composition at 0.438 eV/atom.

Cell lengths 2.8498, 2.8498, 8.8109 Å; angles 90.00, 90.00, 90.00 degrees
Last column: nearest neighbours and their distance in Å.
Element x y z (fractional)
Sr 0.5000 0.5000 0.7500  4 Sr 2.85
Os 0.0000 0.0000 0.4597  4 Pt 2.73, 4 Os 2.85
Os 0.0000 0.0000 0.0403  4 Pt 2.73, 4 Os 2.85
Pt 0.5000 0.5000 0.2500  8 Os 2.73, 4 Pt 2.85



What did we get for DOS(E_F)? Answer: 4.02 3.69 states/eV/cell, in the order shown.
What did we get for ΔH_f (0 K)? Answer: 0.67 0.70 eV per atom, in the order shown.